Record 1
A plane-wave DFT calculation with GGA-PBE was carried out for a geometry-optimized LaGa6Co2 structure.

a = 8.1641 Å, b = 8.1641 Å, c = 8.1641 Å
α = 60.00°, β = 60.00°, γ = 60.00°
Last column: nearest neighbours and their distance in Å.
Atoms (fractional coordinates):
La (0.1250, 0.1250, 0.1250)  6 Ga 3.23
La (0.8750, 0.8750, 0.8750)  6 Ga 3.23
Ga (0.1544, 0.1544, 0.5956)  2 Co 2.32
Ga (0.1544, 0.5956, 0.1544)  2 Co 2.32
Ga (0.1544, 0.5956, 0.5956)  2 Co 2.32
Ga (0.4044, 0.4044, 0.8456)  2 Co 2.32
Ga (0.4044, 0.8456, 0.4044)  2 Co 2.32
Ga (0.4044, 0.8456, 0.8456)  2 Co 2.32
Ga (0.5956, 0.1544, 0.1544)  2 Co 2.32
Ga (0.5956, 0.1544, 0.5956)  2 Co 2.32
Ga (0.5956, 0.5956, 0.1544)  2 Co 2.32
Ga (0.8456, 0.4044, 0.4044)  2 Co 2.32
Ga (0.8456, 0.4044, 0.8456)  2 Co 2.32
Ga (0.8456, 0.8456, 0.4044)  2 Co 2.32
Co (0.0000, 0.5000, 0.5000)  6 Ga 2.32
Co (0.5000, 0.0000, 0.5000)  6 Ga 2.32
Co (0.5000, 0.5000, 0.0000)  6 Ga 2.32
Co (0.5000, 0.5000, 0.5000)  6 Ga 2.32

Summary:
Its space group is Fd-3m (227). For the electronic total energy, the calculation gives -4.082 eV per atom.

Record 2
A plane-wave DFT calculation with GGA-PBE was carried out for a geometry-optimized K3TlCd structure.

a = 6.7718 Å, b = 6.7718 Å, c = 6.7718 Å
α = 90.00°, β = 90.00°, γ = 90.00°
Last column: nearest neighbours and their distance in Å.
Atoms (fractional coordinates):
K (0.0000, 0.0000, 0.5000)  2 Tl 3.39
K (0.0000, 0.5000, 0.0000)  2 Tl 3.39
K (0.5000, 0.0000, 0.0000)  2 Tl 3.39
Tl (0.0000, 0.0000, 0.0000)  6 K 3.39
Cd (0.5000, 0.5000, 0.5000)  12 K 4.79

Summary:
Its relative energy among the computed polymorphs is 1.165 eV per formula unit. Its space group is Pm-3m (221).

Record 3
A plane-wave DFT calculation with GGA-PBE was carried out for a geometry-optimized SrGe2WBr structure.

a = 5.6916 Å, b = 5.6916 Å, c = 5.1884 Å
α = 90.00°, β = 90.00°, γ = 90.00°
Last column: nearest neighbours and their distance in Å.
Atoms (fractional coordinates):
Sr (0.0000, 0.0000, 0.0000)  2 W 2.59, 4 Ge 2.85
Ge (0.0000, 0.5000, 0.0000)  2 Sr 2.85
Ge (0.5000, 0.0000, 0.0000)  2 Sr 2.85
W (0.0000, 0.0000, 0.5000)  2 Sr 2.59
Br (0.5000, 0.5000, 0.5000)  8 Ge 3.85, 4 W 4.02

Summary:
Its space group is P4/mmm (123). For the raw formation energy, the calculation gives 2174 meV per atom.

Copy entry 2 word for word.
A plane-wave DFT calculation with GGA-PBE was carried out for a geometry-optimized K3TlCd structure.

a = 6.7718 Å, b = 6.7718 Å, c = 6.7718 Å
α = 90.00°, β = 90.00°, γ = 90.00°
Last column: nearest neighbours and their distance in Å.
Atoms (fractional coordinates):
K (0.0000, 0.0000, 0.5000)  2 Tl 3.39
K (0.0000, 0.5000, 0.0000)  2 Tl 3.39
K (0.5000, 0.0000, 0.0000)  2 Tl 3.39
Tl (0.0000, 0.0000, 0.0000)  6 K 3.39
Cd (0.5000, 0.5000, 0.5000)  12 K 4.79

Summary:
Its relative energy among the computed polymorphs is 1.165 eV per formula unit. Its space group is Pm-3m (221).